Entry 1:
A plane-wave DFT calculation with PBE-GGA was carried out for a relaxed La2AlSO crystal.

D(E_F): 0.757 states/eV per atom
total magnetization: 0.0 μB per formula unit
ΔE_f (raw): -0.23 eV/atom

Unit cell a=5.569 b=5.569 c=4.388 alpha=90.00 beta=90.00 gamma=90.00
Space group P4/mmm (No. 123)
Unique sites:
La 0.000 0.500 0.000 [2 per cell]
Al 0.000 0.000 0.000 [1 per cell]
S 0.000 0.000 0.500 [1 per cell]
O 0.500 0.500 0.500 [1 per cell]

---

Entry 2:
A plane-wave DFT calculation with PBE-GGA was carried out for a relaxed LaAlS2O8 crystal.

D(E_F): 0.272 states/eV per atom
total magnetization: 1.5 μB per formula unit
ΔE_f (raw): -1.74 eV/atom

Unit cell a=5.2932 b=5.2932 c=6.6942 alpha=90.00 beta=90.00 gamma=120.00
Space group P-3m1 (No. 164)
Unique sites:
La 0.0000 0.0000 0.0000 [1 per cell]
Al 0.0000 0.0000 0.5000 [1 per cell]
S 0.3333 0.6667 0.2841 [2 per cell]
O 0.1562 0.3124 0.3123 [6 per cell]
O 0.3333 0.6667 0.0574 [2 per cell]

---

Entry 3:
A plane-wave DFT calculation with PBE-GGA was carried out for a relaxed La3ScAl2O9 crystal.

D(E_F): 0.000 states/eV per atom
total magnetization: 0.0 μB per formula unit
ΔE_f (raw): -3.32 eV/atom

Unit cell a=5.4980 b=5.4980 c=6.7728 alpha=90.00 beta=90.00 gamma=120.00
Space group P-3m1 (No. 164)
Unique sites:
La 0.0000 0.0000 0.0000 [1 per cell]
La 0.3333 0.6667 0.6767 [2 per cell]
Sc 0.0000 0.0000 0.5000 [1 per cell]
Al 0.3333 0.6667 0.1620 [2 per cell]
O 0.0000 0.5000 0.0000 [3 per cell]
O 0.1728 0.3455 0.3214 [6 per cell]

---

Entry 4:
A plane-wave DFT calculation with PBE-GGA was carried out for a relaxed La2ScAlO6 crystal.

D(E_F): 0.000 states/eV per atom
total magnetization: 0.0 μB per formula unit
ΔE_f (raw): -3.40 eV/atom

Unit cell a=5.585 b=5.596 c=9.652 alpha=90.00 beta=125.01 gamma=90.00
Space group P2_1/c (No. 14)
Unique sites:
La 0.242 0.028 0.249 [4 per cell]
Sc 0.500 0.000 0.000 [2 per cell]
Al 0.000 0.000 0.500 [2 per cell]
O 0.166 0.228 0.958 [4 per cell]
O 0.228 0.709 0.958 [4 per cell]
O 0.318 0.016 0.739 [4 per cell]

---

Entry 5:
A plane-wave DFT calculation with PBE-GGA was carried out for a relaxed La2ScAlO crystal.

D(E_F): 1.179 states/eV per atom
total magnetization: 0.0 μB per formula unit
ΔE_f (raw): -1.33 eV/atom

Unit cell a=5.140 b=5.140 c=4.339 alpha=90.00 beta=90.00 gamma=90.00
Space group P4/mmm (No. 123)
Unique sites:
La 0.000 0.500 0.000 [2 per cell]
Sc 0.000 0.000 0.500 [1 per cell]
Al 0.500 0.500 0.500 [1 per cell]
O 0.000 0.000 0.000 [1 per cell]

---

Entry 6:
A plane-wave DFT calculation with PBE-GGA was carried out for a relaxed LaAlSeO2 crystal.

D(E_F): 0.000 states/eV per atom
total magnetization: 0.0 μB per formula unit
ΔE_f (raw): -2.67 eV/atom

Unit cell a=5.699 b=11.854 c=5.327 alpha=90.00 beta=90.00 gamma=90.00
Space group Cmcm (No. 63)
Unique sites:
La 0.000 0.125 0.250 [4 per cell]
Al 0.000 0.483 0.750 [4 per cell]
Se 0.000 0.266 0.750 [4 per cell]
O 0.224 0.500 0.000 [8 per cell]

---

Entry 7:
A plane-wave DFT calculation with PBE-GGA was carried out for a relaxed La5AlSi2O13 crystal.

D(E_F): 0.000 states/eV per atom
total magnetization: 0.0 μB per formula unit
ΔE_f (raw): -3.33 eV/atom

Unit cell a=9.810 b=7.259 c=9.814 alpha=90.00 beta=119.79 gamma=90.00
Space group Pm (No. 6)
Unique sites:
La 0.000 0.000 0.000 [1 per cell]
La 0.001 0.500 0.758 [1 per cell]
La 0.093 0.250 0.423 [2 per cell]
La 0.429 0.250 0.087 [2 per cell]
La 0.522 0.500 0.530 [1 per cell]
La 0.532 0.000 0.775 [1 per cell]
La 0.758 0.000 0.521 [1 per cell]
La 0.768 0.500 0.001 [1 per cell]
Al 0.389 0.500 0.787 [1 per cell]
Al 0.793 0.000 0.167 [1 per cell]
Si 0.133 0.000 0.730 [1 per cell]
Si 0.168 0.500 0.133 [1 per cell]
Si 0.365 0.000 0.391 [1 per cell]
Si 0.732 0.500 0.361 [1 per cell]
O 0.019 0.183 0.674 [2 per cell]
O 0.093 0.500 0.250 [1 per cell]
O 0.111 0.317 0.018 [2 per cell]
O 0.171 0.000 0.297 [1 per cell]
O 0.232 0.000 0.634 [1 per cell]
O 0.249 0.000 0.921 [1 per cell]
O 0.266 0.500 0.582 [1 per cell]
O 0.290 0.500 0.896 [1 per cell]
O 0.362 0.500 0.232 [1 per cell]
O 0.423 0.182 0.507 [2 per cell]
O 0.435 0.000 0.271 [1 per cell]
O 0.516 0.307 0.858 [2 per cell]
O 0.589 0.000 0.085 [1 per cell]
O 0.635 0.500 0.167 [1 per cell]
O 0.674 0.318 0.419 [2 per cell]
O 0.764 0.500 0.759 [1 per cell]
O 0.766 0.000 0.762 [1 per cell]
O 0.866 0.193 0.111 [2 per cell]
O 0.900 0.000 0.374 [1 per cell]
O 0.922 0.500 0.432 [1 per cell]

---

Entry 8:
A plane-wave DFT calculation with PBE-GGA was carried out for a relaxed La2AlSiO crystal.

D(E_F): 0.602 states/eV per atom
total magnetization: 0.0 μB per formula unit
ΔE_f (raw): -1.08 eV/atom

Unit cell a=5.122 b=5.122 c=4.134 alpha=90.00 beta=90.00 gamma=90.00
Space group P4/mmm (No. 123)
Unique sites:
La 0.000 0.500 0.000 [2 per cell]
Al 0.000 0.000 0.500 [1 per cell]
Si 0.500 0.500 0.500 [1 per cell]
O 0.500 0.500 0.000 [1 per cell]

---

Entry 9:
A plane-wave DFT calculation with PBE-GGA was carried out for a relaxed La12SmAl4O3 crystal.

D(E_F): 1.032 states/eV per atom
total magnetization: 0.8 μB per formula unit
ΔE_f (raw): -0.77 eV/atom

Unit cell a=10.313 b=10.313 c=10.313 alpha=90.00 beta=90.00 gamma=90.00
Space group Im-3m (No. 229)
Unique sites:
La 0.000 0.000 0.270 [12 per cell]
La 0.000 0.250 0.500 [12 per cell]
Sm 0.000 0.000 0.000 [2 per cell]
Al 0.250 0.250 0.250 [8 per cell]
O 0.000 0.000 0.500 [6 per cell]